No. 1
## HfTiAlIn2 (PBE)

Data for a relaxed structure of HfTiAlIn2.

CIF file:
```
data_HfTiAlIn2
_chemical_formula_sum 'Hf1 Ti1 Al1 In2'
_space_group_name_H-M_alt 'P 1'
_space_group_IT_number 1
_space_group_name_Hall 'P 1'
_cell_length_a 4.971
_cell_length_b 5.076
_cell_length_c 4.971
_cell_angle_alpha 90.00
_cell_angle_beta 90.00
_cell_angle_gamma 90.00
loop_
_atom_site_label
_atom_site_type_symbol
_atom_site_fract_x
_atom_site_fract_y
_atom_site_fract_z
Ti1 Ti 0.500 0.500 0.500
Hf1 Hf 0.000 0.500 0.000
Al1 Al 0.000 0.000 0.000
In1 In 0.000 0.000 0.500
In2 In 0.500 0.000 0.000
```

## Properties
DFT total energy in eV per atom: -4.52
Spin magnetization in Bohr magnetons per cell: 0.0
Space group: P4/mmm (123)

No. 2
## CaGa4PtRh2 (PBE)

Data for a relaxed structure of CaGa4PtRh2.

CIF file:
```
data_CaGa4PtRh2
_chemical_formula_sum 'Ca1 Ga4 Pt1 Rh2'
_space_group_name_H-M_alt 'P 1'
_space_group_IT_number 1
_space_group_name_Hall 'P 1'
_cell_length_a 4.259
_cell_length_b 4.259
_cell_length_c 9.267
_cell_angle_alpha 76.71
_cell_angle_beta 76.71
_cell_angle_gamma 60.00
loop_
_atom_site_label
_atom_site_type_symbol
_atom_site_fract_x
_atom_site_fract_y
_atom_site_fract_z
Ca1 Ca 0.000 0.000 0.000
Ga1 Ga 0.400 0.400 0.800
Ga2 Ga 0.871 0.871 0.388
Ga3 Ga 0.129 0.129 0.612
Ga4 Ga 0.600 0.600 0.200
Pt1 Pt 0.500 0.500 0.500
Rh1 Rh 0.768 0.768 0.695
Rh2 Rh 0.232 0.232 0.305
```

## Properties
DFT total energy in eV per atom: -4.95
Spin magnetization in Bohr magnetons per cell: 0.0
Space group: R-3m (166)

No. 3
## Li3Ga2Hg2Au4 (PBE)

Data for a relaxed structure of Li3Ga2Hg2Au4.

CIF file:
```
data_Li3Ga2Hg2Au4
_chemical_formula_sum 'Li3 Ga2 Hg2 Au4'
_space_group_name_H-M_alt 'P 1'
_space_group_IT_number 1
_space_group_name_Hall 'P 1'
_cell_length_a 4.559
_cell_length_b 4.559
_cell_length_c 11.247
_cell_angle_alpha 90.00
_cell_angle_beta 90.00
_cell_angle_gamma 120.00
loop_
_atom_site_label
_atom_site_type_symbol
_atom_site_fract_x
_atom_site_fract_y
_atom_site_fract_z
Li1 Li 0.000 0.000 0.737
Li2 Li 0.000 0.000 0.000
Li3 Li 0.000 0.000 0.263
Ga1 Ga 0.667 0.333 0.909
Ga2 Ga 0.333 0.667 0.091
Hg1 Hg 0.667 0.333 0.421
Hg2 Hg 0.333 0.667 0.579
Au1 Au 0.667 0.333 0.143
Au2 Au 0.333 0.667 0.857
Au3 Au 0.667 0.333 0.681
Au4 Au 0.333 0.667 0.319
```

## Properties
DFT total energy in eV per atom: -2.66
Spin magnetization in Bohr magnetons per cell: 0.0
Space group: P-3m1 (164)